Record 1
Density functional theory data (PBE-GGA) for a relaxed CaCo2IrAu crystal.

a = 4.3322 Å, b = 4.9310 Å, c = 4.3322 Å
α = 90.00°, β = 90.00°, γ = 90.00°
Positions (direct):
Co (0.0000, 0.0000, 0.5000)
Co (0.5000, 0.0000, 0.0000)
Ca (0.0000, 0.0000, 0.0000)
Ir (0.5000, 0.5000, 0.5000)
Au (0.0000, 0.5000, 0.0000)

Output
The value obtained for the calculated formation energy is 1921 meV/atom. As for the symmetry: P4/mmm, No. 123.

***

Record 2
Density functional theory data (PBE-GGA) for a relaxed CaLa2CoAu crystal.

a = 5.1334 Å, b = 5.1334 Å, c = 5.5266 Å
α = 90.00°, β = 90.00°, γ = 90.00°
Positions (direct):
Co (0.0000, 0.0000, 0.0000)
Ca (0.0000, 0.0000, 0.5000)
Au (0.5000, 0.5000, 0.5000)
La (0.0000, 0.5000, 0.0000)
La (0.5000, 0.0000, 0.0000)

Output
The value obtained for the calculated formation energy is -218 meV/atom. As for the symmetry: P4/mmm, No. 123.

***

Record 3
Density functional theory data (PBE-GGA) for a relaxed CaCoOsAu2 crystal.

a = 5.0854 Å, b = 4.9568 Å, c = 5.0854 Å
α = 90.00°, β = 90.00°, γ = 90.00°
Positions (direct):
Os (0.0000, 0.5000, 0.0000)
Ca (0.0000, 0.0000, 0.0000)
Au (0.0000, 0.0000, 0.5000)
Au (0.5000, 0.0000, 0.0000)
Co (0.5000, 0.5000, 0.5000)

Output
The value obtained for the calculated formation energy is 2103 meV/atom. As for the symmetry: P4/mmm, No. 123.